No. 1
Computed, not measured: a relaxed structure of CrSiBr2 at the PBE-GGA level of DFT.

a b c (Å): 4.9756 4.9756 3.5176
angles (deg): 90.00 90.00 90.00
With the nearest neighbours (Å) after each atom.
Element x y z (fractional)
1 Cr 0.0000 0.0000 0.0000  8 Br 3.05
2 Si 0.5000 0.5000 0.0000  8 Br 3.05
3 Br 0.0000 0.5000 0.5000  4 Cr 3.05, 4 Si 3.05
4 Br 0.5000 0.0000 0.5000  4 Cr 3.05, 4 Si 3.05

Results
Formation energy from raw total energies (eV per atom): 0.507
ΔE to the lowest computed polymorph (eV/f.u.): 2.330
Fermi-level density of states (states/eV per cell): 1.45

***

No. 2
Computed, not measured: a relaxed structure of CrSiBr2 at the PBE-GGA level of DFT.

a b c (Å): 6.5236 7.7093 5.0395
angles (deg): 90.00 130.21 90.00
With the nearest neighbours (Å) after each atom.
Element x y z (fractional)
1 Cr 0.0000 0.0000 0.0000  4 Br 2.72
2 Cr 0.5000 0.5000 0.0000  4 Br 2.72
3 Si 0.0000 0.5000 0.0000  4 Br 2.72
4 Si 0.5000 0.0000 0.0000  4 Br 2.72
5 Br 0.2500 0.2500 0.5000  2 Cr 2.72, 2 Si 2.72
6 Br 0.2500 0.7500 0.5000  2 Cr 2.72, 2 Si 2.72
7 Br 0.7500 0.2500 0.5000  2 Cr 2.72, 2 Si 2.72
8 Br 0.7500 0.7500 0.5000  2 Cr 2.72, 2 Si 2.72

Results
Formation energy from raw total energies (eV per atom): 0.337
ΔE to the lowest computed polymorph (eV/f.u.): 1.650
Fermi-level density of states (states/eV per cell): 2.31

***

No. 3
Computed, not measured: a relaxed structure of CrSi2Br at the PBE-GGA level of DFT.

a b c (Å): 4.8663 4.8663 2.9866
angles (deg): 90.00 90.00 90.00
With the nearest neighbours (Å) after each atom.
Element x y z (fractional)
1 Cr 0.0000 0.0000 0.0000  8 Si 2.85, 2 Cr 2.99
2 Si 0.0000 0.5000 0.5000  4 Br 2.85, 4 Cr 2.85, 2 Si 2.99
3 Si 0.5000 0.0000 0.5000  4 Br 2.85, 4 Cr 2.85, 2 Si 2.99
4 Br 0.5000 0.5000 0.0000  8 Si 2.85, 2 Br 2.99

Results
Formation energy from raw total energies (eV per atom): 0.699
ΔE to the lowest computed polymorph (eV/f.u.): 2.372
Fermi-level density of states (states/eV per cell): 2.18

***

No. 4
Computed, not measured: a relaxed structure of CrSi2Br at the PBE-GGA level of DFT.

a b c (Å): 6.5046 3.7568 7.4280
angles (deg): 90.00 107.25 90.00
With the nearest neighbours (Å) after each atom.
Element x y z (fractional)
1 Cr 0.0000 0.0000 0.0000  3 Si 2.59, 3 Br 2.68
2 Cr 0.5000 0.5000 0.0000  3 Si 2.59, 3 Br 2.68
3 Si 0.2343 0.5000 0.1995  3 Si 2.36, 3 Cr 2.59
4 Si 0.4455 0.0000 0.3310  3 Si 2.36
5 Si 0.7343 0.0000 0.1995  3 Si 2.36, 3 Cr 2.59
6 Si 0.9455 0.5000 0.3310  3 Si 2.36
7 Br 0.2585 0.0000 0.7789  3 Cr 2.68
8 Br 0.7585 0.5000 0.7789  3 Cr 2.68

Results
Formation energy from raw total energies (eV per atom): 0.106
ΔE to the lowest computed polymorph (eV/f.u.): 0.000
Fermi-level density of states (states/eV per cell): 3.44

***

No. 5
Computed, not measured: a relaxed structure of Cr3SiBr at the PBE-GGA level of DFT.

a b c (Å): 4.3402 4.3402 4.3402
angles (deg): 90.00 90.00 90.00
With the nearest neighbours (Å) after each atom.
Element x y z (fractional)
1 Cr 0.0000 0.0000 0.5000  2 Br 2.17
2 Cr 0.0000 0.5000 0.0000  2 Br 2.17
3 Cr 0.5000 0.0000 0.0000  2 Br 2.17
4 Si 0.5000 0.5000 0.5000  12 Cr 3.07
5 Br 0.0000 0.0000 0.0000  6 Cr 2.17

Results
Formation energy from raw total energies (eV per atom): 1.482
ΔE to the lowest computed polymorph (eV/f.u.): 0.439
Fermi-level density of states (states/eV per cell): 3.70

***

No. 6
Computed, not measured: a relaxed structure of CrSiBr at the PBE-GGA level of DFT.

a b c (Å): 3.3740 3.3740 11.3954
angles (deg): 90.00 90.00 90.00
With the nearest neighbours (Å) after each atom.
Element x y z (fractional)
1 Cr 0.0000 0.0000 0.0000  4 Si 2.50, 1 Br 2.59
2 Cr 0.5000 0.5000 0.5000  4 Si 2.50, 1 Br 2.59
3 Si 0.0000 0.0000 0.4346  1 Br 2.37, 4 Cr 2.50
4 Si 0.5000 0.5000 0.9346  1 Br 2.37, 4 Cr 2.50
5 Br 0.0000 0.0000 0.2269  1 Si 2.37, 1 Cr 2.59
6 Br 0.5000 0.5000 0.7269  1 Si 2.37, 1 Cr 2.59

Results
Formation energy from raw total energies (eV per atom): 0.237
ΔE to the lowest computed polymorph (eV/f.u.): 0.000
Fermi-level density of states (states/eV per cell): 2.26

***

No. 7
Computed, not measured: a relaxed structure of CrSi2Br at the PBE-GGA level of DFT.

a b c (Å): 4.8364 6.7227 4.8821
angles (deg): 90.00 90.00 90.00
With the nearest neighbours (Å) after each atom.
Element x y z (fractional)
1 Cr 0.0000 0.0000 0.0000  2 Br 2.42
2 Cr 0.5000 0.5000 0.0000  2 Br 2.42
3 Si 0.0000 0.1766 0.5000  3 Si 2.37-2.61
4 Si 0.0000 0.8234 0.5000  3 Si 2.37-2.61
5 Si 0.5000 0.3234 0.5000  3 Si 2.37-2.61
6 Si 0.5000 0.6766 0.5000  3 Si 2.37-2.61
7 Br 0.0000 0.5000 0.0000  2 Cr 2.42
8 Br 0.5000 0.0000 0.0000  2 Cr 2.42

Results
Formation energy from raw total energies (eV per atom): 0.384
ΔE to the lowest computed polymorph (eV/f.u.): 1.115
Fermi-level density of states (states/eV per cell): 3.36

***

No. 8
Computed, not measured: a relaxed structure of CrSiBr2 at the PBE-GGA level of DFT.

a b c (Å): 6.4882 6.4882 9.8577
angles (deg): 90.00 90.00 90.00
With the nearest neighbours (Å) after each atom.
Element x y z (fractional)
1 Cr 0.0000 0.0000 0.0000  4 Br 2.35
2 Cr 0.0000 0.5000 0.2500  4 Br 2.35
3 Cr 0.5000 0.0000 0.7500  4 Br 2.35
4 Cr 0.5000 0.5000 0.5000  4 Br 2.35
5 Si 0.0000 0.0000 0.5000  4 Br 2.90
6 Si 0.0000 0.5000 0.7500  4 Br 2.90
7 Si 0.5000 0.0000 0.2500  4 Br 2.90
8 Si 0.5000 0.5000 0.0000  4 Br 2.90
9 Br 0.1819 0.2500 0.1250  2 Cr 2.35
10 Br 0.2500 0.6819 0.3750  2 Cr 2.35
11 Br 0.2500 0.8181 0.8750  2 Cr 2.35
12 Br 0.3181 0.2500 0.6250  2 Cr 2.35
13 Br 0.6819 0.7500 0.6250  2 Cr 2.35
14 Br 0.7500 0.1819 0.8750  2 Cr 2.35
15 Br 0.7500 0.3181 0.3750  2 Cr 2.35
16 Br 0.8181 0.7500 0.1250  2 Cr 2.35

Results
Formation energy from raw total energies (eV per atom): 0.929
ΔE to the lowest computed polymorph (eV/f.u.): 4.019
Fermi-level density of states (states/eV per cell): 8.09

***

No. 9
Computed, not measured: a relaxed structure of CrSiBr2 at the PBE-GGA level of DFT.

a b c (Å): 3.4363 6.3928 9.3376
angles (deg): 90.00 90.00 90.00
With the nearest neighbours (Å) after each atom.
Element x y z (fractional)
1 Cr 0.0000 0.0000 0.0000  4 Br 2.53
2 Cr 0.5000 0.5000 0.0000  4 Br 2.53
3 Si 0.0000 0.0000 0.5000  4 Br 3.30, 6 Si 3.44-3.63
4 Si 0.5000 0.5000 0.5000  4 Br 3.30, 6 Si 3.44-3.63
5 Br 0.0000 0.5000 0.1988  2 Cr 2.53
6 Br 0.0000 0.5000 0.8012  2 Cr 2.53
7 Br 0.5000 0.0000 0.1988  2 Cr 2.53
8 Br 0.5000 0.0000 0.8012  2 Cr 2.53

Results
Formation energy from raw total energies (eV per atom): 0.321
ΔE to the lowest computed polymorph (eV/f.u.): 1.587
Fermi-level density of states (states/eV per cell): 4.76

***

No. 10
Computed, not measured: a relaxed structure of CrSi2Br at the PBE-GGA level of DFT.

a b c (Å): 5.9538 7.6879 3.0088
angles (deg): 90.00 90.00 90.00
With the nearest neighbours (Å) after each atom.
Element x y z (fractional)
1 Cr 0.0000 0.0000 0.0000  8 Si 2.86, 2 Br 2.98, 2 Cr 3.01
2 Cr 0.5000 0.5000 0.0000  8 Si 2.86, 2 Br 2.98, 2 Cr 3.01
3 Si 0.2500 0.2500 0.5000  4 Cr 2.86, 4 Br 2.86, 4 Si 2.98-3.01
4 Si 0.2500 0.7500 0.5000  4 Cr 2.86, 4 Br 2.86, 4 Si 2.98-3.01
5 Si 0.7500 0.2500 0.5000  4 Cr 2.86, 4 Br 2.86, 4 Si 2.98-3.01
6 Si 0.7500 0.7500 0.5000  4 Cr 2.86, 4 Br 2.86, 4 Si 2.98-3.01
7 Br 0.0000 0.5000 0.0000  8 Si 2.86, 2 Cr 2.98, 2 Br 3.01
8 Br 0.5000 0.0000 0.0000  8 Si 2.86, 2 Cr 2.98, 2 Br 3.01

Results
Formation energy from raw total energies (eV per atom): 0.713
ΔE to the lowest computed polymorph (eV/f.u.): 2.430
Fermi-level density of states (states/eV per cell): 5.58

***

No. 11
Computed, not measured: a relaxed structure of CrSiBr2 at the PBE-GGA level of DFT.

a b c (Å): 3.6402 3.6402 26.6691
angles (deg): 90.00 90.00 120.00
With the nearest neighbours (Å) after each atom.
Element x y z (fractional)
1 Cr 0.0000 0.0000 0.0000  6 Br 2.68
2 Cr 0.3333 0.6667 0.6667  6 Br 2.68
3 Cr 0.6667 0.3333 0.3333  6 Br 2.68
4 Si 0.0000 0.0000 0.5000  2 Br 2.78
5 Si 0.3333 0.6667 0.1667  2 Br 2.78
6 Si 0.6667 0.3333 0.8333  2 Br 2.78
7 Br 0.0000 0.0000 0.3958  3 Cr 2.68, 1 Si 2.78
8 Br 0.0000 0.0000 0.6042  3 Cr 2.68, 1 Si 2.78
9 Br 0.3333 0.6667 0.0625  3 Cr 2.68, 1 Si 2.78
10 Br 0.3333 0.6667 0.2708  3 Cr 2.68, 1 Si 2.78
11 Br 0.6667 0.3333 0.7292  3 Cr 2.68, 1 Si 2.78
12 Br 0.6667 0.3333 0.9375  3 Cr 2.68, 1 Si 2.78

Results
Formation energy from raw total energies (eV per atom): 0.210
ΔE to the lowest computed polymorph (eV/f.u.): 1.142
Fermi-level density of states (states/eV per cell): 11.35

***

No. 12
Computed, not measured: a relaxed structure of CrSiBr4 at the PBE-GGA level of DFT.

a b c (Å): 6.2404 6.2404 6.2404
angles (deg): 60.00 60.00 60.00
With the nearest neighbours (Å) after each atom.
Element x y z (fractional)
1 Cr 0.0000 0.0000 0.0000  12 Br 3.66, 4 Si 3.82
2 Si 0.7500 0.7500 0.7500  12 Br 3.66, 4 Cr 3.82
3 Br 0.3742 0.3742 0.3742  6 Br 3.10-3.14
4 Br 0.3742 0.3742 0.8773  6 Br 3.10-3.14
5 Br 0.3742 0.8773 0.3742  6 Br 3.10-3.14
6 Br 0.8773 0.3742 0.3742  6 Br 3.10-3.14

Results
Formation energy from raw total energies (eV per atom): 1.057
Fermi-level density of states (states/eV per cell): 7.81

***

- Which value of Fermi-level density of states does entry 2 give?
  2.31 states/eV per cell

***

- Among the records above, which one has the highest Fermi-level density of states?
  number 11